5
Lattice="-2.634 -2.904 -0.702 3.172 -2.710 -0.689 0.023 -0.956 3.867" Properties=species:S:1:pos:R:3 comment="FeNi2RuF, optimized geometry, DFT GGA+U" total_energy_ev_per_atom=-3.981 sg="No. 123" dos_at_fermi_per_ev_fu=2.79 pbc="T T T"
Ni -1.317 -1.452 -0.351
Ni 0.011 -0.478 1.933
Ru 0.280 -3.285 1.238
Fe 1.586 -1.355 -0.345
F 0.000 0.000 0.000